1.
Below is crystalline Al2HgPd7 at its relaxed geometry, with properties calculated at the PBE level.

Cell lengths 7.3044, 12.1444, 4.4081 Å; angles 90.00, 90.00, 90.00 degrees
Space group Cmmm (No. 65)
Inequivalent atoms, fractional coordinates:
Al: 0.0000 0.1991 0.0000 (multiplicity 4)
Hg: 0.0000 0.5000 0.5000 (multiplicity 2)
Pd: 0.0000 0.0000 0.0000 (multiplicity 2)
Pd: 0.0000 0.2753 0.5000 (multiplicity 4)
Pd: 0.1896 0.3774 0.0000 (multiplicity 8)

The density of states at the Fermi level comes out at 4.59 states/eV/f.u. As for the energy of formation from the pure elements: -0.936 eV/f.u. The magnetization is 0.0 μB per cell.

---

2.
Below is crystalline ZrBe2Os at its relaxed geometry, with properties calculated at the PBE level.

Cell lengths 7.6008, 3.3136, 4.7342 Å; angles 90.00, 111.14, 90.00 degrees
Space group C2/m (No. 12)
Inequivalent atoms, fractional coordinates:
Zr: 0.0000 0.0000 0.0000 (multiplicity 2)
Be: 0.2274 0.0000 0.6299 (multiplicity 4)
Os: 0.0000 0.5000 0.5000 (multiplicity 2)

The density of states at the Fermi level comes out at 1.26 states/eV/f.u. As for the energy of formation from the pure elements: -1.091 eV/f.u. The value obtained for the energy above the most stable polymorph in this dataset is 0.28 eV per formula unit. The magnetization is 0.0 μB per cell.

---

The following E_tot values (in eV per atom) correspond, in order, to the records above: -4.51, -7.08.